Entry 1:
# Rb2LiCdF6 (GGA-PBE, relaxed)
data_Rb2LiCdF6
_cell_length_a 5.793
_cell_length_b 5.797
_cell_length_c 8.210
_cell_angle_alpha 90.02
_cell_angle_beta 90.00
_cell_angle_gamma 90.05
_space_group_name_H-M_alt 'P -1'
_space_group_IT_number 2
_space_group_name_Hall '-P 1'
loop_
_atom_site_label
_atom_site_type_symbol
_atom_site_fract_x
_atom_site_fract_y
_atom_site_fract_z
Rb1 Rb 0.000 0.000 0.250
Rb2 Rb 0.500 0.500 0.250
Li1 Li 0.000 0.500 0.000
Li2 Li 0.500 0.000 0.500
Cd1 Cd 0.000 0.500 0.500
Cd2 Cd 0.500 0.000 0.000
F1 F 0.001 0.500 0.240
F2 F 0.235 0.744 0.999
F3 F 0.244 0.263 0.000
F4 F 0.258 0.238 0.500
F5 F 0.263 0.758 0.501
F6 F 0.499 0.000 0.260
# * distance to the lowest polymorph of the same formula: 14.0 meV/atom
# * V: 276 Å³/cell

Entry 2:
# BaZnAg (GGA-PBE, relaxed)
data_BaZnAg
_cell_length_a 7.676
_cell_length_b 7.676
_cell_length_c 7.676
_cell_angle_alpha 90.00
_cell_angle_beta 90.00
_cell_angle_gamma 90.00
_space_group_name_H-M_alt 'F -4 3 m'
_space_group_IT_number 216
_space_group_name_Hall 'F -4 2 3'
loop_
_atom_site_label
_atom_site_type_symbol
_atom_site_fract_x
_atom_site_fract_y
_atom_site_fract_z
Ba1 Ba 0.000 0.000 0.000
Zn1 Zn 0.250 0.250 0.250
Ag1 Ag 0.250 0.250 0.750
# * V: 452 Å³/cell
# * E: -0.134 Ry per atom

Entry 3:
# Gd2HoFe6Ni3 (GGA-PBE, relaxed)
data_Gd2HoFe6Ni3
_cell_length_a 4.9624
_cell_length_b 4.9624
_cell_length_c 24.9528
_cell_angle_alpha 90.00
_cell_angle_beta 90.00
_cell_angle_gamma 120.00
_space_group_name_H-M_alt 'R -3 m'
_space_group_IT_number 166
_space_group_name_Hall '-R 3 2"'
loop_
_atom_site_label
_atom_site_type_symbol
_atom_site_fract_x
_atom_site_fract_y
_atom_site_fract_z
Gd1 Gd 0.0000 0.0000 0.1413
Ho1 Ho 0.0000 0.0000 0.0000
Fe1 Fe 0.9997 0.4998 0.0809
Ni1 Ni 0.0000 0.0000 0.3331
Ni2 Ni 0.0000 0.0000 0.5000
# * M_tot: 39.05 Bohr magnetons per cell
# * V: 532 Å³/cell
# * calculated formation energy: -1.539 eV/f.u.

Entry 4:
# Ho2Si (GGA-PBE, relaxed)
data_Ho2Si
_cell_length_a 7.7984
_cell_length_b 7.7984
_cell_length_c 4.1868
_cell_angle_alpha 90.00
_cell_angle_beta 90.00
_cell_angle_gamma 120.00
_space_group_name_H-M_alt 'P -6 2 m'
_space_group_IT_number 189
_space_group_name_Hall 'P -6 -2'
loop_
_atom_site_label
_atom_site_type_symbol
_atom_site_fract_x
_atom_site_fract_y
_atom_site_fract_z
Ho1 Ho 0.0000 0.2652 0.0000
Ho2 Ho 0.0000 0.5975 0.5000
Si1 Si 0.0000 0.0000 0.5000
Si2 Si 0.3333 0.6667 0.0000
# * M_tot: 0.96 Bohr magnetons per cell
# * V: 221 Å³/cell
# * E: -0.397 Ry per atom

Entry 5:
# LiZrTaFe (GGA-PBE, relaxed)
data_LiZrTaFe
_cell_length_a 6.267
_cell_length_b 6.267
_cell_length_c 6.267
_cell_angle_alpha 90.00
_cell_angle_beta 90.00
_cell_angle_gamma 90.00
_space_group_name_H-M_alt 'F -4 3 m'
_space_group_IT_number 216
_space_group_name_Hall 'F -4 2 3'
loop_
_atom_site_label
_atom_site_type_symbol
_atom_site_fract_x
_atom_site_fract_y
_atom_site_fract_z
Li1 Li 0.000 0.000 0.000
Zr1 Zr 0.250 0.250 0.750
Ta1 Ta 0.250 0.250 0.250
Fe1 Fe 0.000 0.000 0.500
# * distance to the lowest polymorph of the same formula: 0.0 meV/atom
# * M_tot: 0.01 Bohr magnetons per cell
# * V: 246 Å³/cell

Entry 6:
# KHoCoSe3 (GGA-PBE, relaxed)
data_KHoCoSe3
_cell_length_a 4.054
_cell_length_b 14.739
_cell_length_c 10.778
_cell_angle_alpha 90.00
_cell_angle_beta 90.00
_cell_angle_gamma 90.00
_space_group_name_H-M_alt 'C m c m'
_space_group_IT_number 63
_space_group_name_Hall '-C 2c 2'
loop_
_atom_site_label
_atom_site_type_symbol
_atom_site_fract_x
_atom_site_fract_y
_atom_site_fract_z
K1 K 0.000 0.244 0.250
Ho1 Ho 0.000 0.500 0.000
Co1 Co 0.000 0.034 0.750
Se1 Se 0.000 0.127 0.567
Se2 Se 0.000 0.437 0.750
# * distance to the lowest polymorph of the same formula: 14.9 meV/atom
# * M_tot: 11.93 Bohr magnetons per cell
# * V: 644 Å³/cell

> Which of these has the highest V?

KHoCoSe3

> Which of these has the lowest V?

Ho2Si

> Which value of V does entry 1 give?

276 Å³/cell

What did the second record say?
# BaZnAg (GGA-PBE, relaxed)
data_BaZnAg
_cell_length_a 7.676
_cell_length_b 7.676
_cell_length_c 7.676
_cell_angle_alpha 90.00
_cell_angle_beta 90.00
_cell_angle_gamma 90.00
_space_group_name_H-M_alt 'F -4 3 m'
_space_group_IT_number 216
_space_group_name_Hall 'F -4 2 3'
loop_
_atom_site_label
_atom_site_type_symbol
_atom_site_fract_x
_atom_site_fract_y
_atom_site_fract_z
Ba1 Ba 0.000 0.000 0.000
Zn1 Zn 0.250 0.250 0.250
Ag1 Ag 0.250 0.250 0.750
# * V: 452 Å³/cell
# * E: -0.134 Ry per atom